No. 1
# DyHo2Pd2 | OQMD via LeMat-Bulk | PBE | optimized geometry
data_DyHo2Pd2
_chemical_formula_sum 'Dy2 Ho4 Pd4'
_cell_length_a 7.137
_cell_length_b 7.137
_cell_length_c 9.740
_cell_angle_alpha 104.51
_cell_angle_beta 104.51
_cell_angle_gamma 30.19
_space_group_name_H-M_alt 'P 1'
_space_group_IT_number 1
loop_
_space_group_symop_operation_xyz
'x,y,z'
loop_
_atom_site_label
_atom_site_type_symbol
_atom_site_fract_x
_atom_site_fract_y
_atom_site_fract_z
Dy1 Dy 0.148 0.148 0.377
Dy2 Dy 0.852 0.852 0.623
Ho1 Ho 0.132 0.132 0.995
Ho2 Ho 0.408 0.408 0.338
Ho3 Ho 0.592 0.592 0.662
Ho4 Ho 0.868 0.868 0.005
Pd1 Pd 0.249 0.249 0.772
Pd2 Pd 0.469 0.469 0.847
Pd3 Pd 0.531 0.531 0.153
Pd4 Pd 0.751 0.751 0.228
# * ΔE_f: -749 meV per atom
# * energy: -5.57 eV per atom

No. 2
# DyHoPd | OQMD via LeMat-Bulk | PBE | optimized geometry
data_DyHoPd
_chemical_formula_sum 'Dy4 Ho4 Pd4'
_cell_length_a 7.063
_cell_length_b 4.862
_cell_length_c 8.720
_cell_angle_alpha 90.00
_cell_angle_beta 90.00
_cell_angle_gamma 90.00
_space_group_name_H-M_alt 'P 1'
_space_group_IT_number 1
loop_
_space_group_symop_operation_xyz
'x,y,z'
loop_
_atom_site_label
_atom_site_type_symbol
_atom_site_fract_x
_atom_site_fract_y
_atom_site_fract_z
Dy1 Dy 0.015 0.250 0.171
Dy2 Dy 0.485 0.750 0.671
Dy3 Dy 0.515 0.250 0.329
Dy4 Dy 0.985 0.750 0.829
Ho1 Ho 0.144 0.250 0.581
Ho2 Ho 0.356 0.750 0.081
Ho3 Ho 0.644 0.250 0.919
Ho4 Ho 0.856 0.750 0.419
Pd1 Pd 0.241 0.250 0.907
Pd2 Pd 0.259 0.750 0.407
Pd3 Pd 0.741 0.250 0.593
Pd4 Pd 0.759 0.750 0.093
# * ΔE_f: -639 meV per atom
# * energy: -5.42 eV per atom

No. 3
# DyHoPd6 | OQMD via LeMat-Bulk | PBE | optimized geometry
data_DyHoPd6
_chemical_formula_sum 'Dy1 Ho1 Pd6'
_cell_length_a 4.105
_cell_length_b 4.105
_cell_length_c 8.208
_cell_angle_alpha 90.00
_cell_angle_beta 90.00
_cell_angle_gamma 90.00
_space_group_name_H-M_alt 'P 1'
_space_group_IT_number 1
loop_
_space_group_symop_operation_xyz
'x,y,z'
loop_
_atom_site_label
_atom_site_type_symbol
_atom_site_fract_x
_atom_site_fract_y
_atom_site_fract_z
Dy1 Dy 0.000 0.000 0.000
Ho1 Ho 0.000 0.000 0.500
Pd1 Pd 0.000 0.500 0.251
Pd2 Pd 0.000 0.500 0.749
Pd3 Pd 0.500 0.000 0.251
Pd4 Pd 0.500 0.000 0.749
Pd5 Pd 0.500 0.500 0.000
Pd6 Pd 0.500 0.500 0.500
# * ΔE_f: -901 meV per atom
# * energy: -5.93 eV per atom

What is the ΔE_f in the second record? -639 meV per atom

What is the ΔE_f in the second record? -639 meV per atom

Which of these has the lowest energy? DyHoPd6

Which of these has the highest energy? DyHoPd